Record 1
DFT (PBE) results for crystalline Sm2HfAs3 at its relaxed geometry.

Cell: 9.0798 9.0798 9.0798 Å, 153.96 153.96 37.16°
With the nearest neighbours (Å) after each atom.
Fractional positions:
Sm (0.1674, 0.1674, 0.0000)  6 As 2.88-2.99
Sm (0.8326, 0.8326, 0.0000)  6 As 2.88-2.99
Hf (0.5000, 0.5000, 0.0000)  6 As 2.73-2.89
As (0.0000, 0.0000, 0.0000)  2 Sm 2.88, 4 Hf 2.89
As (0.3412, 0.3412, 0.0000)  1 Hf 2.73, 5 Sm 2.90-2.99
As (0.6588, 0.6588, 0.0000)  1 Hf 2.73, 5 Sm 2.90-2.99

For the formation energy from the elements, the calculation gives -1.28 eV per atom. The volume comes out at 24.01 Å³ per atom. The uncorrected energy comes out at -41.017 eV/cell.

=====

Record 2
DFT (PBE) results for crystalline Y2WN2 at its relaxed geometry.

Cell: 7.2128 7.2128 3.0437 Å, 90.00 90.00 90.00°
With the nearest neighbours (Å) after each atom.
Fractional positions:
Y (0.1508, 0.3492, 0.0000)  2 N 2.38
Y (0.3492, 0.8492, 0.0000)  2 N 2.38
Y (0.6508, 0.1508, 0.0000)  2 N 2.38
Y (0.8492, 0.6508, 0.0000)  2 N 2.38
W (0.0000, 0.0000, 0.0000)  4 Y 2.74, 2 W 3.04
W (0.5000, 0.5000, 0.0000)  4 Y 2.74, 2 W 3.04
N (0.1697, 0.6697, 0.5000)  2 Y 2.38
N (0.3303, 0.1697, 0.5000)  2 Y 2.38
N (0.6697, 0.8303, 0.5000)  2 Y 2.38
N (0.8303, 0.3303, 0.5000)  2 Y 2.38

The volume comes out at 15.84 Å³ per atom. The uncorrected energy comes out at -79.258 eV/cell. The formation energy without anion corrections comes out at 581 meV/atom.

=====

Record 3
DFT (PBE) results for crystalline K3Cd4Bi4 at its relaxed geometry.

Cell: 9.6835 9.6835 9.6835 Å, 145.32 134.21 58.70°
With the nearest neighbours (Å) after each atom.
Fractional positions:
K (0.0000, 0.0000, 0.0000)  6 Bi 3.59-3.66
K (0.3800, 0.8800, 0.5000)  6 Cd 3.79-3.80, 8 Bi 3.84-4.08, 1 K 4.05
K (0.6200, 0.1200, 0.5000)  6 Cd 3.79-3.80, 8 Bi 3.84-4.08, 1 K 4.05
Cd (0.0229, 0.3271, 0.6958)  1 Cd 2.95, 2 Bi 3.00-3.02
Cd (0.3686, 0.6729, 0.6958)  1 Cd 2.95, 2 Bi 3.00-3.02
Cd (0.6314, 0.3271, 0.3042)  1 Cd 2.95, 2 Bi 3.00-3.02
Cd (0.9771, 0.6729, 0.3042)  1 Cd 2.95, 2 Bi 3.00-3.02
Bi (0.2126, 0.2126, 0.0000)  6 Cd 3.00-3.31
Bi (0.2977, 0.5000, 0.7977)  2 Cd 3.02, 1 Bi 3.05
Bi (0.7023, 0.5000, 0.2023)  2 Cd 3.02, 1 Bi 3.05
Bi (0.7874, 0.7874, 0.0000)  6 Cd 3.00-3.31

For the formation energy from the elements, the calculation gives -0.23 eV per atom. The volume comes out at 33.38 Å³ per atom. The uncorrected energy comes out at -25.009 eV/cell.

=====

Record 4
DFT (PBE) results for crystalline Zn4TcOs at its relaxed geometry.

Cell: 4.8840 4.8840 4.8840 Å, 60.00 60.00 60.00°
With the nearest neighbours (Å) after each atom.
Fractional positions:
Zn (0.1250, 0.1250, 0.1250)  6 Zn 2.44
Zn (0.1250, 0.1250, 0.6250)  6 Zn 2.44
Zn (0.1250, 0.6250, 0.1250)  6 Zn 2.44
Zn (0.6250, 0.1250, 0.1250)  6 Zn 2.44
Tc (0.5000, 0.5000, 0.5000)  12 Zn 2.86, 4 Os 2.99
Os (0.7500, 0.7500, 0.7500)  12 Zn 2.86, 4 Tc 2.99

For the formation energy from the elements, the calculation gives 0.23 eV per atom. The volume comes out at 13.73 Å³ per atom. The uncorrected energy comes out at -25.286 eV/cell.

=====

Record 5
DFT (PBE) results for crystalline BeReW3 at its relaxed geometry.

Cell: 4.2116 4.2116 4.2116 Å, 90.00 90.00 90.00°
With the nearest neighbours (Å) after each atom.
Fractional positions:
Be (0.0000, 0.0000, 0.0000)  6 W 2.11
Re (0.5000, 0.5000, 0.5000)  12 W 2.98
W (0.0000, 0.0000, 0.5000)  2 Be 2.11
W (0.0000, 0.5000, 0.0000)  2 Be 2.11
W (0.5000, 0.0000, 0.0000)  2 Be 2.11

For the energy above the most stable polymorph in this dataset, the calculation gives 0.0 meV/atom. For the formation energy from the elements, the calculation gives 0.84 eV per atom. The volume comes out at 14.94 Å³ per atom. The uncorrected energy comes out at -50.857 eV/cell.

=====

Record 6
DFT (PBE) results for crystalline TiTc2B2 at its relaxed geometry.

Cell: 6.0320 6.0320 3.0105 Å, 90.00 90.00 90.00°
With the nearest neighbours (Å) after each atom.
Fractional positions:
Ti (0.0000, 0.0000, 0.0000)  4 B 2.44, 8 Tc 2.69
Ti (0.5000, 0.5000, 0.0000)  4 B 2.44, 8 Tc 2.69
Tc (0.1733, 0.3267, 0.5000)  6 B 2.31-2.37
Tc (0.3267, 0.8267, 0.5000)  6 B 2.31-2.37
Tc (0.6733, 0.1733, 0.5000)  6 B 2.31-2.37
Tc (0.8267, 0.6733, 0.5000)  6 B 2.31-2.37
B (0.1115, 0.6115, 0.0000)  1 B 1.90
B (0.3885, 0.1115, 0.0000)  1 B 1.90
B (0.6115, 0.8885, 0.0000)  1 B 1.90
B (0.8885, 0.3885, 0.0000)  1 B 1.90

For the formation energy from the elements, the calculation gives -0.53 eV per atom. The volume comes out at 10.95 Å³ per atom. The uncorrected energy comes out at -89.295 eV/cell.

=====

Record 7
DFT (PBE) results for crystalline KHfPd2 at its relaxed geometry.

Cell: 4.8619 4.8619 4.8619 Å, 60.00 60.00 60.00°
With the nearest neighbours (Å) after each atom.
Fractional positions:
K (0.0000, 0.0000, 0.0000)  8 Pd 2.98
Hf (0.5000, 0.5000, 0.5000)  8 Pd 2.98
Pd (0.2500, 0.2500, 0.2500)  4 Hf 2.98, 4 K 2.98
Pd (0.7500, 0.7500, 0.7500)  4 Hf 2.98, 4 K 2.98

For the energy above the most stable polymorph in this dataset, the calculation gives 0.0 meV/atom. For the formation energy from the elements, the calculation gives 0.11 eV per atom. The volume comes out at 20.32 Å³ per atom. The uncorrected energy comes out at -20.993 eV/cell.

=====

Record 8
DFT (PBE) results for crystalline CdSe2O at its relaxed geometry.

Cell: 9.4496 9.4496 9.4496 Å, 18.25 18.25 18.25°
With the nearest neighbours (Å) after each atom.
Fractional positions:
Cd (0.0000, 0.0000, 0.0000)  2 Se 2.97, 6 Cd 3.00
Se (0.1064, 0.1064, 0.1064)  3 O 2.41
Se (0.8936, 0.8936, 0.8936)  3 O 2.41
O (0.5000, 0.5000, 0.5000)  6 Se 2.41

For the energy above the most stable polymorph in this dataset, the calculation gives 485.7 meV/atom. The volume comes out at 18.07 Å³ per atom. The uncorrected energy comes out at -11.002 eV/cell. The formation energy without anion corrections comes out at 460 meV/atom.